[1]
# CrCo2NiP

A relaxed structure of CrCo2NiP (PBE-GGA, Alexandria).

Cell lengths 4.1368, 4.1368, 4.2738 Å; angles 90.00, 90.00, 90.00 degrees
Last column: nearest neighbours and their distance in Å.
Sites, in units of the cell vectors:
Cr  0.0000  0.0000  0.0000  4 Co 2.07, 2 Ni 2.14
Co  0.0000  0.5000  0.0000  2 Cr 2.07
Co  0.5000  0.0000  0.0000  2 Cr 2.07
Ni  0.0000  0.0000  0.5000  2 Cr 2.14
P  0.5000  0.5000  0.5000  4 Ni 2.93, 8 Co 2.97

symmetry: No. 123
volume: 73.14 Å³ per cell
total DFT energy (no corrections): -5.708 eV/atom
DOS(E_F): 6.3 states/eV per cell
calculated formation energy: 1.30 eV per atom
ρ: 5.9 Mg/m³

=====

[2]
# CrCoNi2S6

A relaxed structure of CrCoNi2S6 (PBE-GGA, Alexandria).

Cell lengths 9.0508, 9.0508, 5.4450 Å; angles 103.35, 103.35, 104.03 degrees
Last column: nearest neighbours and their distance in Å.
Sites, in units of the cell vectors:
Cr  0.1813  0.8187  0.7500  4 S 2.15-2.16
Cr  0.8187  0.1813  0.2500  4 S 2.15-2.16
Co  0.1776  0.8224  0.2500  4 S 2.15-2.18
Co  0.8224  0.1776  0.7500  4 S 2.15-2.18
Ni  0.2315  0.4212  0.3076  4 S 2.16-2.20
Ni  0.4212  0.2315  0.8076  4 S 2.16-2.20
Ni  0.5788  0.7685  0.1924  4 S 2.16-2.20
Ni  0.7685  0.5788  0.6924  4 S 2.16-2.20
S  0.0201  0.2101  0.0951  1 Cr 2.16, 1 Co 2.18, 1 Ni 2.20
S  0.1463  0.6242  0.4083  1 Cr 2.15, 1 Co 2.15, 1 Ni 2.17
S  0.2101  0.0201  0.5951  1 Cr 2.16, 1 Co 2.18, 1 Ni 2.20
S  0.3641  0.4361  0.7009  1 S 2.09, 2 Ni 2.16-2.20
S  0.3758  0.8537  0.0917  1 Cr 2.15, 1 Co 2.15, 1 Ni 2.17
S  0.4361  0.3641  0.2009  1 S 2.09, 2 Ni 2.16-2.20
S  0.5639  0.6359  0.7991  1 S 2.09, 2 Ni 2.16-2.20
S  0.6242  0.1463  0.9083  1 Cr 2.15, 1 Co 2.15, 1 Ni 2.17
S  0.6359  0.5639  0.2991  1 S 2.09, 2 Ni 2.16-2.20
S  0.7899  0.9799  0.4049  1 Cr 2.16, 1 Co 2.18, 1 Ni 2.20
S  0.8537  0.3758  0.5917  1 Cr 2.15, 1 Co 2.15, 1 Ni 2.17
S  0.9799  0.7899  0.9049  1 Cr 2.16, 1 Co 2.18, 1 Ni 2.20

symmetry: No. 15
volume: 401.12 Å³ per cell
total DFT energy (no corrections): -5.573 eV/atom
DOS(E_F): 12.3 states/eV per cell
E_form (uncorrected): -0.2675 eV/atom
ρ: 3.5 Mg/m³

=====

[3]
# Cr4CoNiS8

A relaxed structure of Cr4CoNiS8 (PBE-GGA, Alexandria).

Cell lengths 6.8882, 6.8882, 6.8882 Å; angles 60.00, 60.00, 60.00 degrees
Last column: nearest neighbours and their distance in Å.
Sites, in units of the cell vectors:
Cr  0.1255  0.1255  0.1255  6 S 2.38-2.39
Cr  0.1255  0.1255  0.6236  6 S 2.38-2.39
Cr  0.1255  0.6236  0.1255  6 S 2.38-2.39
Cr  0.6236  0.1255  0.1255  6 S 2.38-2.39
Co  0.7500  0.7500  0.7500  4 S 2.20
Ni  0.5000  0.5000  0.5000  4 S 2.20
S  0.3589  0.8804  0.8804  1 Co 2.20, 3 Cr 2.39
S  0.3695  0.3695  0.3695  1 Ni 2.20, 3 Cr 2.38
S  0.3695  0.3695  0.8915  1 Ni 2.20, 3 Cr 2.38
S  0.3695  0.8915  0.3695  1 Ni 2.20, 3 Cr 2.38
S  0.8804  0.3589  0.8804  1 Co 2.20, 3 Cr 2.39
S  0.8804  0.8804  0.3589  1 Co 2.20, 3 Cr 2.39
S  0.8804  0.8804  0.8804  1 Co 2.20, 3 Cr 2.39
S  0.8915  0.3695  0.3695  1 Ni 2.20, 3 Cr 2.38

symmetry: No. 216
volume: 231.10 Å³ per cell
total DFT energy (no corrections): -6.649 eV/atom
DOS(E_F): 8.5 states/eV per cell
E_form (uncorrected): -0.6208 eV/atom
ρ: 4.2 Mg/m³

=====

[4]
# CrCoNi2Se6

A relaxed structure of CrCoNi2Se6 (PBE-GGA, Alexandria).

Cell lengths 9.4295, 9.4295, 5.1678 Å; angles 105.68, 105.68, 106.47 degrees
Last column: nearest neighbours and their distance in Å.
Sites, in units of the cell vectors:
Cr  0.1670  0.8330  0.7500  4 Se 2.28-2.31
Cr  0.8330  0.1670  0.2500  4 Se 2.28-2.31
Co  0.1714  0.8286  0.2500  4 Se 2.28-2.30
Co  0.8286  0.1714  0.7500  4 Se 2.28-2.30
Ni  0.2904  0.4595  0.8702  6 Se 2.36-2.63
Ni  0.4595  0.2904  0.3702  6 Se 2.36-2.63
Ni  0.5405  0.7096  0.6298  6 Se 2.36-2.63
Ni  0.7096  0.5405  0.1298  6 Se 2.36-2.63
Se  0.0536  0.2135  0.6403  1 Co 2.30, 1 Cr 2.31, 1 Ni 2.43
Se  0.1226  0.6107  0.8626  1 Co 2.28, 1 Cr 2.28, 1 Ni 2.41
Se  0.2135  0.0536  0.1403  1 Co 2.30, 1 Cr 2.31, 1 Ni 2.43
Se  0.3172  0.4652  0.3931  4 Ni 2.36-2.63
Se  0.3893  0.8774  0.6374  1 Co 2.28, 1 Cr 2.28, 1 Ni 2.41
Se  0.4652  0.3172  0.8931  4 Ni 2.36-2.63
Se  0.5348  0.6828  0.1069  4 Ni 2.36-2.63
Se  0.6107  0.1226  0.3626  1 Co 2.28, 1 Cr 2.28, 1 Ni 2.41
Se  0.6828  0.5348  0.6069  4 Ni 2.36-2.63
Se  0.7865  0.9464  0.8597  1 Co 2.30, 1 Cr 2.31, 1 Ni 2.43
Se  0.8774  0.3893  0.1374  1 Co 2.28, 1 Cr 2.28, 1 Ni 2.41
Se  0.9464  0.7865  0.3597  1 Co 2.30, 1 Cr 2.31, 1 Ni 2.43

symmetry: No. 15
volume: 393.16 Å³ per cell
total DFT energy (no corrections): -5.165 eV/atom
DOS(E_F): 14.5 states/eV per cell
E_form (uncorrected): -0.2448 eV/atom
ρ: 5.9 Mg/m³

=====

[5]
# CrCoSiNi2

A relaxed structure of CrCoSiNi2 (PBE-GGA, Alexandria).

Cell lengths 4.2154, 4.2154, 4.0972 Å; angles 90.00, 90.00, 90.00 degrees
Last column: nearest neighbours and their distance in Å.
Sites, in units of the cell vectors:
Cr  0.0000  0.0000  0.0000  8 Ni 2.94, 4 Si 2.98
Co  0.5000  0.5000  0.5000  2 Si 2.05, 4 Ni 2.11
Si  0.5000  0.5000  0.0000  2 Co 2.05
Ni  0.0000  0.5000  0.5000  2 Co 2.11
Ni  0.5000  0.0000  0.5000  2 Co 2.11

symmetry: No. 123
volume: 72.81 Å³ per cell
total DFT energy (no corrections): -5.639 eV/atom
DOS(E_F): 11.4 states/eV per cell
E_form (uncorrected): 1.1045 eV/atom
ρ: 5.8 Mg/m³

=====

[6]
# SrCr2CoNi

A relaxed structure of SrCr2CoNi (PBE-GGA, Alexandria).

Cell lengths 4.4389, 4.4389, 5.4315 Å; angles 90.00, 90.00, 90.00 degrees
Last column: nearest neighbours and their distance in Å.
Sites, in units of the cell vectors:
Sr  0.0000  0.0000  0.0000  2 Co 2.72
Cr  0.0000  0.5000  0.5000  2 Co 2.22
Cr  0.5000  0.0000  0.5000  2 Co 2.22
Co  0.0000  0.0000  0.5000  4 Cr 2.22
Ni  0.5000  0.5000  0.0000  4 Sr 3.14, 8 Cr 3.51

symmetry: No. 123
volume: 107.02 Å³ per cell
total DFT energy (no corrections): -5.647 eV/atom
DOS(E_F): 5.0 states/eV per cell
calculated formation energy: 1.12 eV per atom
ρ: 4.8 Mg/m³